(1)
Below is TcAgAs2 after structural relaxation, with properties calculated at the PBE level.

```
4
Lattice="-1.6214 1.9915 1.3366 0.8517 -2.2837 1.5624 8.4480 5.0323 2.7500" Properties=species:S:1:pos:R:3 pbc="T T T"
As 0.4190 0.2496 0.1364
As 3.8050 2.2666 1.2386
Tc 1.7272 1.1120 2.1370
Ag 5.9512 3.6281 3.5120
```

Results
* space group: Cmmm, No. 65
* volume: 76 Å³ per cell
* formation energy: 106 kJ/mol of formula units
* crystal system: orthorhombic
* magnetic moment: 0.00 μB per formula unit
* E_tot: -5.3532 eV/atom
* E above lowest polymorph: 291.9 meV/atom

(2)
Below is TcAgAs after structural relaxation, with properties calculated at the PBE level.

```
6
Lattice="3.0155 0.0000 0.0000 0.0000 3.0155 0.0000 0.0000 0.0000 11.1738" Properties=species:S:1:pos:R:3 pbc="T T T"
Ag 0.0000 1.5078 6.5930
Ag 1.5078 0.0000 4.5808
As 0.0000 1.5078 2.3567
As 1.5078 0.0000 8.8172
Tc 1.5078 0.0000 0.8744
Tc 0.0000 1.5078 10.2995
```

Results
* space group: P4/nmm, No. 129
* volume: 102 Å³ per cell
* formation energy: 7 kJ/mol of formula units
* crystal system: tetragonal
* magnetic moment: 0.00 μB per formula unit
* E_tot: -5.9321 eV/atom
* E above lowest polymorph: 0.0 meV/atom

(3)
Below is TcAgAs after structural relaxation, with properties calculated at the PBE level.

```
3
Lattice="-7.1297 0.1922 2.3064 -6.9571 -2.0564 0.5232 0.0688 -0.7363 2.7782" Properties=species:S:1:pos:R:3 pbc="T T T"
As -4.3161 -1.0857 2.7942
Tc -9.5564 -1.5032 2.8132
Ag -0.0767 -0.7479 2.7788
```

Results
* space group: Fmm2, No. 42
* volume: 54 Å³ per cell
* formation energy: 107 kJ/mol of formula units
* crystal system: orthorhombic
* magnetic moment: 0.00 μB per formula unit
* E_tot: -5.5849 eV/atom
* E above lowest polymorph: 347.2 meV/atom

(4)
Below is Tc2AgAs after structural relaxation, with properties calculated at the PBE level.

```
4
Lattice="3.9535 0.0000 0.0000 0.0000 2.9673 0.0058 0.0000 1.6641 5.3718" Properties=species:S:1:pos:R:3 pbc="T T T"
As 1.9767 3.4735 4.0332
Tc 0.0000 4.2773 5.2482
Tc 0.0000 2.6697 2.8181
Ag 1.9767 1.1578 1.3444
```

Results
* space group: P2/m, No. 10
* volume: 63 Å³ per cell
* formation energy: 141 kJ/mol of formula units
* crystal system: monoclinic
* magnetic moment: 0.00 μB per formula unit
* E_tot: -6.6927 eV/atom

(5)
Below is TcAgAs2 after structural relaxation, with properties calculated at the PBE level.

```
4
Lattice="-2.7895 -0.0056 0.6628 0.7846 -2.1688 -1.7034 1.9269 -5.6351 8.0623" Properties=species:S:1:pos:R:3 pbc="T T T"
As 1.8603 -5.4405 7.7838
As -0.4119 -2.8143 1.9507
Tc 0.9487 -2.7745 3.9695
Ag 0.4151 -5.2329 5.4110
```

Results
* space group: Cmm2, No. 35
* volume: 75 Å³ per cell
* formation energy: 137 kJ/mol of formula units
* crystal system: orthorhombic
* magnetic moment: 0.00 μB per formula unit
* E_tot: -5.2735 eV/atom
* E above lowest polymorph: 371.5 meV/atom

(6)
Below is Tc2AgAs after structural relaxation, with properties calculated at the PBE level.

```
4
Lattice="8.7914 0.0039 0.0023 8.3140 2.8578 0.0023 8.3140 1.3909 2.4965" Properties=species:S:1:pos:R:3 pbc="T T T"
As 19.0646 3.1895 1.8758
Tc 0.2301 0.0385 0.0226
Tc 12.4796 2.0878 1.2279
Ag 6.3549 1.0632 0.6253
```

Results
* space group: R-3m, No. 166
* volume: 63 Å³ per cell
* formation energy: 118 kJ/mol of formula units
* crystal system: trigonal
* magnetic moment: 0.00 μB per formula unit
* E_tot: -6.7519 eV/atom

(7)
Below is Tc2AgAs after structural relaxation, with properties calculated at the PBE level.

```
4
Lattice="-2.2027 1.4964 -1.2674 -2.3287 -1.1752 2.6596 1.3417 4.7463 3.2721" Properties=species:S:1:pos:R:3 pbc="T T T"
As -1.2187 3.8644 3.2494
Tc 0.0225 0.0795 0.0548
Tc -1.9851 1.1534 1.3805
Ag 0.6624 2.3434 1.6155
```

Results
* space group: Pmm2, No. 25
* volume: 65 Å³ per cell
* formation energy: 111 kJ/mol of formula units
* crystal system: orthorhombic
* magnetic moment: 0.00 μB per formula unit
* E_tot: -6.7709 eV/atom

(8)
Below is TcAgAs2 after structural relaxation, with properties calculated at the PBE level.

```
4
Lattice="6.4437 0.9311 0.0038 3.2798 5.6241 -0.0038 -4.1221 -4.3747 2.5016" Properties=species:S:1:pos:R:3 pbc="T T T"
As 8.9479 6.0324 0.0000
As 5.6372 3.8004 0.0000
Tc 3.5917 -0.0830 1.2527
Ag 2.0097 2.2635 1.2489
```

Results
* space group: Immm, No. 71
* volume: 83 Å³ per cell
* formation energy: 99 kJ/mol of formula units
* crystal system: orthorhombic
* magnetic moment: 0.00 μB per formula unit
* E_tot: -5.3717 eV/atom
* E above lowest polymorph: 273.4 meV/atom

(9)
Below is Tc2AgAs after structural relaxation, with properties calculated at the PBE level.

```
4
Lattice="-2.5272 1.2304 0.7085 -0.0421 -1.5108 2.4735 3.8609 5.8388 3.6319" Properties=species:S:1:pos:R:3 pbc="T T T"
As 1.7661 4.4734 4.4608
Tc 0.0344 0.0520 0.0324
Tc -0.4542 1.1156 2.3722
Ag 1.8758 2.8368 1.7646
```

Results
* space group: P4mm, No. 99
* volume: 66 Å³ per cell
* formation energy: 66 kJ/mol of formula units
* crystal system: tetragonal
* magnetic moment: 0.00 μB per formula unit
* E_tot: -6.8859 eV/atom

(10)
Below is TcAgAs2 after structural relaxation, with properties calculated at the PBE level.

```
4
Lattice="-2.8249 -0.3776 -1.7561 -0.5921 -2.8942 1.5747 -3.1640 3.0588 4.4321" Properties=species:S:1:pos:R:3 pbc="T T T"
As -0.0297 0.0287 0.0415
As -2.6589 -0.7171 1.2406
Tc -1.3651 1.3197 1.9122
Ag -4.1093 0.6851 3.2723
```

Results
* space group: P4mm, No. 99
* volume: 70 Å³ per cell
* formation energy: 101 kJ/mol of formula units
* crystal system: tetragonal
* magnetic moment: 0.00 μB per formula unit
* E_tot: -5.3663 eV/atom
* E above lowest polymorph: 278.8 meV/atom

(11)
Below is Tc2AgAs after structural relaxation, with properties calculated at the PBE level.

```
4
Lattice="5.0436 0.0035 0.0113 -2.3695 4.7044 -0.0158 0.3045 0.8298 2.6585" Properties=species:S:1:pos:R:3 pbc="T T T"
As 1.3370 2.3539 -0.0022
Tc 0.0000 0.0000 0.0000
Tc 2.6740 0.4166 1.3349
Ag -1.0325 2.7671 1.3214
```

Results
* space group: C2/m, No. 12
* volume: 63 Å³ per cell
* formation energy: 218 kJ/mol of formula units
* crystal system: monoclinic
* magnetic moment: 0.00 μB per formula unit
* E_tot: -6.4931 eV/atom

(12)
Below is Tc3AgAs after structural relaxation, with properties calculated at the PBE level.

```
5
Lattice="-4.6519 1.3377 1.0205 -0.3957 -3.7862 3.1591 1.6354 2.8891 3.6675" Properties=species:S:1:pos:R:3 pbc="T T T"
As -1.7061 0.2203 3.9235
Tc -0.1979 -1.8931 1.5795
Tc 0.8177 1.4445 1.8337
Tc -2.3260 0.6689 0.5103
Ag 0.0000 0.0000 0.0000
```

Results
* space group: Pm-3m, No. 221
* volume: 121 Å³ per cell
* formation energy: 1181 kJ/mol of formula units
* crystal system: cubic
* magnetic moment: 9.84 μB per formula unit
* E_tot: -5.2710 eV/atom
* E above lowest polymorph: 1264.8 meV/atom

(13)
Below is TcAgAs2 after structural relaxation, with properties calculated at the PBE level.

```
4
Lattice="-2.1606 -1.7204 -1.3767 0.7643 -2.3936 1.7917 -4.8646 2.1503 4.9476" Properties=species:S:1:pos:R:3 pbc="T T T"
As -0.2099 0.0928 0.2135
As -2.2224 0.9824 2.2603
Tc -1.9144 -1.5194 1.4444
Ag -4.3467 -0.4443 3.9182
```

Results
* space group: P4/mmm, No. 123
* volume: 69 Å³ per cell
* formation energy: 5 kJ/mol of formula units
* crystal system: tetragonal
* magnetic moment: 0.00 μB per formula unit
* E_tot: -5.6174 eV/atom
* E above lowest polymorph: 27.6 meV/atom

(14)
Below is Tc2AgAs after structural relaxation, with properties calculated at the PBE level.

```
4
Lattice="-0.1648 4.1105 1.6466 -2.7989 -1.3702 3.1501 2.3834 -0.6411 1.8388" Properties=species:S:1:pos:R:3 pbc="T T T"
As -0.2078 -1.0057 2.4944
Tc 0.0000 0.0000 0.0000
Tc -1.4818 1.3701 2.3983
Ag 1.1093 1.7347 1.7427
```

Results
* space group: P4/mmm, No. 123
* volume: 60 Å³ per cell
* formation energy: 163 kJ/mol of formula units
* crystal system: tetragonal
* magnetic moment: 0.00 μB per formula unit
* E_tot: -6.6358 eV/atom

(15)
Below is TcAgAs after structural relaxation, with properties calculated at the PBE level.

```
3
Lattice="-0.0433 -2.3617 1.8373 2.1960 2.0217 0.2134 -3.6755 3.5236 4.4428" Properties=species:S:1:pos:R:3 pbc="T T T"
As 0.0674 1.8856 2.4254
Tc -1.6337 1.3396 4.1206
Ag -3.6321 3.4820 4.3903
```

Results
* space group: P3m1, No. 156
* volume: 52 Å³ per cell
* formation energy: 61 kJ/mol of formula units
* crystal system: trigonal
* magnetic moment: 0.00 μB per formula unit
* E_tot: -5.7451 eV/atom
* E above lowest polymorph: 187.0 meV/atom

(16)
Below is TcAgAs2 after structural relaxation, with properties calculated at the PBE level.

```
4
Lattice="4.5845 0.0000 0.0000 2.2923 3.9703 0.0000 2.2923 1.3234 3.7432" Properties=species:S:1:pos:R:3 pbc="T T T"
As 0.0000 0.0000 0.0000
As 2.2923 1.3234 0.9358
Tc 6.8768 3.9703 2.8074
Ag 4.5845 2.6469 1.8716
```

Results
* space group: F-43m, No. 216
* volume: 68 Å³ per cell
* formation energy: 255 kJ/mol of formula units
* crystal system: cubic
* magnetic moment: 0.47 μB per formula unit
* E_tot: -4.9682 eV/atom
* E above lowest polymorph: 676.9 meV/atom

(17)
Below is TcAgAs2 after structural relaxation, with properties calculated at the PBE level.

```
8
Lattice="-5.2241 -1.7493 -2.1961 -0.8036 -3.5132 4.7102 -5.4703 1.4290 3.8664" Properties=species:S:1:pos:R:3 pbc="T T T"
As -4.5451 -1.1123 0.2618
As -2.7108 -2.1201 3.5569
As -6.3921 -1.0281 4.0120
As -9.3481 -3.4065 4.9301
Tc -3.0139 -2.6312 1.2571
Tc -4.6439 -2.3577 4.9168
Ag 0.0000 0.0000 0.0000
Ag -6.8542 -1.4757 1.4637
```

Results
* space group: I-42d, No. 122
* volume: 190 Å³ per cell
* formation energy: 113 kJ/mol of formula units
* crystal system: tetragonal
* magnetic moment: 0.00 μB per formula unit
* E_tot: -5.3368 eV/atom
* E above lowest polymorph: 308.3 meV/atom

(18)
Below is TcAg4As after structural relaxation, with properties calculated at the PBE level.

```
6
Lattice="3.6389 -0.8376 3.9670 2.5603 4.2309 2.2857 -1.1695 1.4494 5.1197" Properties=species:S:1:pos:R:3 pbc="T T T"
Tc 0.0000 0.0000 0.0000
Ag 3.7310 2.3017 4.5454
Ag 1.8619 0.9078 5.9655
Ag 3.1449 3.0280 7.1110
Ag 1.3214 3.4478 5.1230
As 1.2574 1.2107 2.8431
```

Results
* space group: F-43m, No. 216
* volume: 114 Å³ per cell
* formation energy: 385 kJ/mol of formula units
* crystal system: cubic
* magnetic moment: 3.54 μB per formula unit
* E_tot: -3.7391 eV/atom

(19)
Below is TcAgAs2 after structural relaxation, with properties calculated at the PBE level.

```
4
Lattice="10.0950 0.0243 0.0143 9.6468 2.9746 0.0143 9.6468 1.4654 2.5886" Properties=species:S:1:pos:R:3 pbc="T T T"
As 0.4250 0.0646 0.0378
As 6.7090 1.0191 0.5974
Tc 14.7394 2.2390 1.3126
Ag 22.2094 3.3737 1.9778
```

Results
* space group: R3m, No. 160
* volume: 77 Å³ per cell
* formation energy: 104 kJ/mol of formula units
* crystal system: trigonal
* magnetic moment: 0.18 μB per formula unit
* E_tot: -5.3593 eV/atom
* E above lowest polymorph: 285.7 meV/atom

(20)
Below is Tc2AgAs after structural relaxation, with properties calculated at the PBE level.

```
4
Lattice="-3.0964 1.1442 3.0140 -0.6056 -2.5132 3.6466 1.2437 1.5402 4.0077" Properties=species:S:1:pos:R:3 pbc="T T T"
As -1.8437 0.1284 8.0012
Tc 0.0000 0.0000 0.0000
Tc -0.6146 0.0428 2.6671
Ag -1.2291 0.0856 5.3341
```

Results
* space group: F-43m, No. 216
* volume: 63 Å³ per cell
* formation energy: 203 kJ/mol of formula units
* crystal system: cubic
* magnetic moment: 0.00 μB per formula unit
* E_tot: -6.5329 eV/atom